As2Pb2Au3 | GGA-PBE | optimized geometry

The structure in POSCAR format:
```
As2Pb2Au3
1.0
1.825 -13.483 0.000
1.825 13.483 0.000
0.000 0.000 3.343
As Pb Au
2 2 3
direct
0.219 0.781 0.000 As
0.781 0.219 0.000 As
0.376 0.624 0.500 Pb
0.624 0.376 0.500 Pb
0.057 0.943 0.000 Au
0.500 0.500 0.500 Au
0.943 0.057 0.000 Au
```

Formation energy, kJ/mol of atoms: 3.8
Electronic total energy, eV/atom: -3.7536
Crystal system: orthorhombic

Ba3Na2In2 | GGA-PBE | optimized geometry

The structure in POSCAR format:
```
Ba3Na2In2
1.0
2.159 -16.824 0.000
2.159 16.824 0.000
0.000 0.000 4.248
Ba Na In
3 2 2
direct
0.000 0.000 0.000 Ba
0.123 0.877 0.000 Ba
0.877 0.123 0.000 Ba
0.291 0.709 0.500 Na
0.709 0.291 0.500 Na
0.438 0.562 0.500 In
0.562 0.438 0.500 In
```

Formation energy, kJ/mol of atoms: -21.5
Electronic total energy, eV/atom: -2.2062
Crystal system: orthorhombic

LiAcHg14 | GGA-PBE | optimized geometry

The structure in POSCAR format:
```
LiAcHg14
1.0
-4.307 6.082 8.529
4.307 -6.082 8.529
4.307 6.082 -8.529
Li Ac Hg
2 2 28
direct
0.500 0.000 0.000 Li
0.500 0.500 0.500 Li
0.035 0.285 0.750 Ac
0.965 0.715 0.250 Ac
0.029 0.332 0.078 Hg
0.029 0.951 0.697 Hg
0.074 0.458 0.616 Hg
0.141 0.016 0.125 Hg
0.235 0.421 0.432 Hg
0.235 0.802 0.814 Hg
0.246 0.049 0.578 Hg
0.246 0.668 0.197 Hg
0.316 0.227 0.089 Hg
0.342 0.458 0.884 Hg
0.363 0.773 0.589 Hg
0.391 0.016 0.375 Hg
0.489 0.421 0.686 Hg
0.489 0.802 0.068 Hg
0.511 0.198 0.932 Hg
0.511 0.579 0.314 Hg
0.609 0.984 0.625 Hg
0.637 0.227 0.411 Hg
0.658 0.542 0.116 Hg
0.684 0.773 0.911 Hg
0.754 0.332 0.803 Hg
0.754 0.951 0.422 Hg
0.765 0.198 0.186 Hg
0.765 0.579 0.568 Hg
0.859 0.984 0.875 Hg
0.926 0.542 0.384 Hg
0.971 0.049 0.303 Hg
0.971 0.668 0.922 Hg
```

Formation energy, kJ/mol of atoms: -11.8
Electronic total energy, eV/atom: -0.7632
Crystal system: orthorhombic

Sr2NbHgO | GGA-PBE | optimized geometry

The structure in POSCAR format:
```
Sr2NbHgO
1.0
4.812 0.000 0.000
0.000 4.812 0.000
0.000 0.000 5.775
Sr Nb Hg O
2 1 1 1
direct
0.000 0.500 0.000 Sr
0.500 0.000 0.000 Sr
0.000 0.000 0.500 Nb
0.500 0.500 0.500 Hg
0.500 0.500 0.000 O
```

Electronic total energy, eV/atom: -4.0483
Crystal system: tetragonal
Uncorrected formation energy, eV per atom: -0.310